A relaxed structure of LaBe3Pt. Source: Alexandria via LeMat-Bulk, functional PBEsol.

Computed properties:
The density of states at the Fermi level comes out at 0.534 states/eV per atom. The energy relative to the elements comes out at -463 meV/atom.

abc: 11.2456 4.1200 6.5984
angles: 90.00 92.02 90.00
With the nearest neighbours (Å) after each atom.
Space group C2/m (No. 12)
Inequivalent atoms, fractional coordinates:
La  0.1391  0.0000  0.1479 (multiplicity 4)  10 Be 3.04-3.27, 3 Pt 3.06-3.29
Be  0.0000  0.2567  0.5000 (multiplicity 4)  4 Be 2.01-2.22
Be  0.0721  0.5000  0.7778 (multiplicity 4)  3 Be 2.22-2.25, 2 Pt 2.33
Be  0.1806  0.5000  0.4981 (multiplicity 4)  3 Be 2.25-2.27, 3 Pt 2.28-2.43
Pt  0.1511  0.0000  0.6860 (multiplicity 4)  7 Be 2.28-2.43


A relaxed structure of RbMn2CrAg. Source: Alexandria via LeMat-Bulk, functional PBEsol.

Computed properties:
The density of states at the Fermi level comes out at 0.474 states/eV per atom. The energy relative to the elements comes out at 1102 meV/atom.

abc: 4.5653 4.5653 5.3089
angles: 90.00 90.00 90.00
With the nearest neighbours (Å) after each atom.
Space group P4/mmm (No. 123)
Inequivalent atoms, fractional coordinates:
Rb  0.0000  0.0000  0.0000 (multiplicity 1)  4 Ag 3.23, 8 Mn 3.50
Mn  0.0000  0.5000  0.5000 (multiplicity 2)  2 Cr 2.28
Cr  0.5000  0.5000  0.5000 (multiplicity 1)  4 Mn 2.28
Ag  0.5000  0.5000  0.0000 (multiplicity 1)  2 Cr 2.65


A relaxed structure of PRuS2. Source: Alexandria via LeMat-Bulk, functional PBEsol.

Computed properties:
The density of states at the Fermi level comes out at 0.668 states/eV per atom. The calculation puts the energy relative to the elements, uncorrected at 0.119 eV/atom.

abc: 3.4008 3.4008 21.4084
angles: 90.00 90.00 120.00
With the nearest neighbours (Å) after each atom.
Space group R-3m (No. 166, hexagonal axes)
Inequivalent atoms, fractional coordinates:
P  0.0000  0.0000  0.0000 (multiplicity 3)  2 S 2.32
Ru  0.0000  0.0000  0.5000 (multiplicity 3)  6 S 2.33
S  0.0000  0.0000  0.1084 (multiplicity 6)  1 P 2.32, 3 Ru 2.33


Number 1: E_tot -5.325 eV/atom, magnetization 0.0 μB per formula unit. Number 2: E_tot -5.718 eV/atom, magnetization 4.5 μB per formula unit. Number 3: E_tot -6.064 eV/atom, magnetization 0.0 μB per formula unit.